Record 1
## BiCl (GGA-PBE)

Data for a relaxed structure of BiCl.

Unit cell a=11.9873 b=11.9873 c=3.6841 alpha=90.00 beta=90.00 gamma=120.00
Atoms (fractional coordinates):
Bi (0.0771, 0.2605, 0.2500)
Bi (0.1834, 0.9229, 0.2500)
Bi (0.2605, 0.1834, 0.7500)
Bi (0.7395, 0.8166, 0.2500)
Bi (0.8166, 0.0771, 0.7500)
Bi (0.9229, 0.7395, 0.7500)
Cl (0.1378, 0.4588, 0.7500)
Cl (0.3210, 0.8622, 0.7500)
Cl (0.4588, 0.3210, 0.2500)
Cl (0.5412, 0.6790, 0.7500)
Cl (0.6790, 0.1378, 0.2500)
Cl (0.8622, 0.5412, 0.2500)

Values from the calculation:
- V (Å³/cell) = 458.5
- formation energy (no corrections) (eV per atom) = -0.3704
- total DFT energy (no corrections) (eV/atom) = -3.234


Record 2
## BiCl (GGA-PBE)

Data for a relaxed structure of BiCl.

Unit cell a=6.5154 b=10.2288 c=7.5274 alpha=90.00 beta=90.00 gamma=90.00
Atoms (fractional coordinates):
Bi (0.0000, 0.0403, 0.2018)
Bi (0.0000, 0.4597, 0.7018)
Bi (0.0000, 0.5403, 0.2982)
Bi (0.0000, 0.9597, 0.7982)
Bi (0.5000, 0.0403, 0.2982)
Bi (0.5000, 0.4597, 0.7982)
Bi (0.5000, 0.5403, 0.2018)
Bi (0.5000, 0.9597, 0.7018)
Cl (0.0000, 0.2064, 0.6102)
Cl (0.0000, 0.2936, 0.1102)
Cl (0.0000, 0.7064, 0.8898)
Cl (0.0000, 0.7936, 0.3898)
Cl (0.5000, 0.2064, 0.8898)
Cl (0.5000, 0.2936, 0.3898)
Cl (0.5000, 0.7064, 0.6102)
Cl (0.5000, 0.7936, 0.1102)

Values from the calculation:
- V (Å³/cell) = 501.7
- formation energy (no corrections) (eV per atom) = -0.5572
- total DFT energy (no corrections) (eV/atom) = -3.421


Record 3
## BiCl (GGA-PBE)

Data for a relaxed structure of BiCl.

Unit cell a=9.3679 b=9.3679 c=9.3679 alpha=90.00 beta=90.00 gamma=90.00
Atoms (fractional coordinates):
Bi (0.1197, 0.1197, 0.8803)
Bi (0.1197, 0.8803, 0.1197)
Bi (0.3803, 0.3803, 0.3803)
Bi (0.3803, 0.6197, 0.6197)
Bi (0.6197, 0.3803, 0.6197)
Bi (0.6197, 0.6197, 0.3803)
Bi (0.8803, 0.1197, 0.1197)
Bi (0.8803, 0.8803, 0.8803)
Cl (0.2106, 0.2106, 0.2106)
Cl (0.2106, 0.7894, 0.7894)
Cl (0.2894, 0.2894, 0.7106)
Cl (0.2894, 0.7106, 0.2894)
Cl (0.7106, 0.2894, 0.2894)
Cl (0.7106, 0.7106, 0.7106)
Cl (0.7894, 0.2106, 0.7894)
Cl (0.7894, 0.7894, 0.2106)

Values from the calculation:
- V (Å³/cell) = 822.1
- formation energy (no corrections) (eV per atom) = -0.1494
- total DFT energy (no corrections) (eV/atom) = -3.013


Record 4
## BiCl3 (GGA-PBE)

Data for a relaxed structure of BiCl3.

Unit cell a=3.6198 b=3.6198 c=30.9222 alpha=90.00 beta=90.00 gamma=120.00
Atoms (fractional coordinates):
Bi (0.0000, 0.0000, 0.0000)
Bi (0.3333, 0.6667, 0.6667)
Bi (0.6667, 0.3333, 0.3333)
Cl (0.0000, 0.0000, 0.0825)
Cl (0.0000, 0.0000, 0.5000)
Cl (0.0000, 0.0000, 0.9175)
Cl (0.3333, 0.6667, 0.1667)
Cl (0.3333, 0.6667, 0.5842)
Cl (0.3333, 0.6667, 0.7492)
Cl (0.6667, 0.3333, 0.2508)
Cl (0.6667, 0.3333, 0.4158)
Cl (0.6667, 0.3333, 0.8333)

Values from the calculation:
- V (Å³/cell) = 350.9
- formation energy (no corrections) (eV per atom) = 0.0690
- total DFT energy (no corrections) (eV/atom) = -2.286


Record 5
## BiCl (GGA-PBE)

Data for a relaxed structure of BiCl.

Unit cell a=6.2506 b=6.2506 c=6.2506 alpha=90.00 beta=90.00 gamma=90.00
Atoms (fractional coordinates):
Bi (0.0000, 0.0000, 0.0000)
Bi (0.0000, 0.5000, 0.5000)
Bi (0.5000, 0.0000, 0.5000)
Bi (0.5000, 0.5000, 0.0000)
Cl (0.0000, 0.0000, 0.5000)
Cl (0.0000, 0.5000, 0.0000)
Cl (0.5000, 0.0000, 0.0000)
Cl (0.5000, 0.5000, 0.5000)

Values from the calculation:
- V (Å³/cell) = 244.2
- formation energy (no corrections) (eV per atom) = 0.1543
- total DFT energy (no corrections) (eV/atom) = -2.710


Record 6
## BiCl3 (GGA-PBE)

Data for a relaxed structure of BiCl3.

Unit cell a=3.9702 b=13.9803 c=8.5964 alpha=90.00 beta=90.00 gamma=90.00
Atoms (fractional coordinates):
Bi (0.0000, 0.2370, 0.2500)
Bi (0.0000, 0.7630, 0.7500)
Bi (0.5000, 0.2630, 0.7500)
Bi (0.5000, 0.7370, 0.2500)
Cl (0.0000, 0.1589, 0.5648)
Cl (0.0000, 0.1589, 0.9352)
Cl (0.0000, 0.3975, 0.7500)
Cl (0.0000, 0.6025, 0.2500)
Cl (0.0000, 0.8411, 0.0648)
Cl (0.0000, 0.8411, 0.4352)
Cl (0.5000, 0.1025, 0.2500)
Cl (0.5000, 0.3411, 0.0648)
Cl (0.5000, 0.3411, 0.4352)
Cl (0.5000, 0.6589, 0.5648)
Cl (0.5000, 0.6589, 0.9352)
Cl (0.5000, 0.8975, 0.7500)

Values from the calculation:
- V (Å³/cell) = 477.1
- formation energy (no corrections) (eV per atom) = -0.9415
- total DFT energy (no corrections) (eV/atom) = -3.297


Record 7
## BiCl (GGA-PBE)

Data for a relaxed structure of BiCl.

Unit cell a=4.7986 b=4.7986 c=8.7037 alpha=90.00 beta=90.00 gamma=120.00
Atoms (fractional coordinates):
Bi (0.3333, 0.6667, 0.0000)
Bi (0.6667, 0.3333, 0.5000)
Cl (0.3333, 0.6667, 0.5718)
Cl (0.6667, 0.3333, 0.0718)

Values from the calculation:
- V (Å³/cell) = 173.6
- formation energy (no corrections) (eV per atom) = 0.2740
- total DFT energy (no corrections) (eV/atom) = -2.590


Record 8
## BiCl (GGA-PBE)

Data for a relaxed structure of BiCl.

Unit cell a=9.2633 b=8.3585 c=6.3439 alpha=76.75 beta=61.44 gamma=41.81
Atoms (fractional coordinates):
Bi (0.0855, 0.6645, 0.6645)
Bi (0.3355, 0.9145, 0.9145)
Bi (0.6645, 0.0855, 0.0855)
Bi (0.9145, 0.3355, 0.3355)
Cl (0.1772, 0.1772, 0.5728)
Cl (0.4272, 0.4272, 0.8228)
Cl (0.5728, 0.5728, 0.1772)
Cl (0.8228, 0.8228, 0.4272)

Values from the calculation:
- V (Å³/cell) = 280.7
- formation energy (no corrections) (eV per atom) = -0.3114
- total DFT energy (no corrections) (eV/atom) = -3.175


Record 9
## BiCl (GGA-PBE)

Data for a relaxed structure of BiCl.

Unit cell a=8.4756 b=8.4756 c=8.4756 alpha=90.00 beta=90.00 gamma=90.00
Atoms (fractional coordinates):
Bi (0.0000, 0.2500, 0.5000)
Bi (0.0000, 0.7500, 0.5000)
Bi (0.2500, 0.5000, 0.0000)
Bi (0.5000, 0.0000, 0.2500)
Bi (0.5000, 0.0000, 0.7500)
Bi (0.7500, 0.5000, 0.0000)
Cl (0.0000, 0.5000, 0.2500)
Cl (0.0000, 0.5000, 0.7500)
Cl (0.2500, 0.0000, 0.5000)
Cl (0.5000, 0.2500, 0.0000)
Cl (0.5000, 0.7500, 0.0000)
Cl (0.7500, 0.0000, 0.5000)

Values from the calculation:
- V (Å³/cell) = 608.8
- formation energy (no corrections) (eV per atom) = 0.3530
- total DFT energy (no corrections) (eV/atom) = -2.511


Record 10
## BiCl (GGA-PBE)

Data for a relaxed structure of BiCl.

Unit cell a=9.5395 b=9.5395 c=3.2539 alpha=90.00 beta=90.00 gamma=90.00
Atoms (fractional coordinates):
Bi (0.1732, 0.1732, 0.0000)
Bi (0.3268, 0.6732, 0.5000)
Bi (0.6732, 0.3268, 0.5000)
Bi (0.8268, 0.8268, 0.0000)
Cl (0.1249, 0.8751, 0.0000)
Cl (0.3751, 0.3751, 0.5000)
Cl (0.6249, 0.6249, 0.5000)
Cl (0.8751, 0.1249, 0.0000)

Values from the calculation:
- V (Å³/cell) = 296.1
- formation energy (no corrections) (eV per atom) = -0.1670
- total DFT energy (no corrections) (eV/atom) = -3.031


Record 11
## BiCl (GGA-PBE)

Data for a relaxed structure of BiCl.

Unit cell a=6.8752 b=6.8752 c=6.8752 alpha=90.00 beta=90.00 gamma=90.00
Atoms (fractional coordinates):
Bi (0.0000, 0.0000, 0.0000)
Bi (0.0000, 0.5000, 0.5000)
Bi (0.5000, 0.0000, 0.5000)
Bi (0.5000, 0.5000, 0.0000)
Cl (0.2500, 0.2500, 0.2500)
Cl (0.2500, 0.7500, 0.7500)
Cl (0.7500, 0.2500, 0.7500)
Cl (0.7500, 0.7500, 0.2500)

Values from the calculation:
- V (Å³/cell) = 325.0
- formation energy (no corrections) (eV per atom) = 0.3303
- total DFT energy (no corrections) (eV/atom) = -2.533


Record 12
## BiCl3 (GGA-PBE)

Data for a relaxed structure of BiCl3.

Unit cell a=7.3854 b=10.1965 c=6.9396 alpha=90.00 beta=90.00 gamma=90.00
Atoms (fractional coordinates):
Bi (0.0000, 0.0000, 0.0000)
Bi (0.0000, 0.5000, 0.0000)
Bi (0.5000, 0.0000, 0.5000)
Bi (0.5000, 0.5000, 0.5000)
Cl (0.0349, 0.2500, 0.1434)
Cl (0.1798, 0.0694, 0.6701)
Cl (0.1798, 0.4306, 0.6701)
Cl (0.3202, 0.5694, 0.1701)
Cl (0.3202, 0.9306, 0.1701)
Cl (0.4651, 0.7500, 0.6434)
Cl (0.5349, 0.2500, 0.3566)
Cl (0.6798, 0.0694, 0.8299)
Cl (0.6798, 0.4306, 0.8299)
Cl (0.8202, 0.5694, 0.3299)
Cl (0.8202, 0.9306, 0.3299)
Cl (0.9651, 0.7500, 0.8566)

Values from the calculation:
- V (Å³/cell) = 522.6
- formation energy (no corrections) (eV per atom) = -0.9517
- total DFT energy (no corrections) (eV/atom) = -3.307


Record 13
## BiCl (GGA-PBE)

Data for a relaxed structure of BiCl.

Unit cell a=12.8230 b=12.8230 c=3.3453 alpha=90.00 beta=90.00 gamma=90.00
Atoms (fractional coordinates):
Bi (0.0781, 0.1755, 0.0000)
Bi (0.1755, 0.9219, 0.0000)
Bi (0.3245, 0.5781, 0.5000)
Bi (0.4219, 0.3245, 0.5000)
Bi (0.5781, 0.6755, 0.5000)
Bi (0.6755, 0.4219, 0.5000)
Bi (0.8245, 0.0781, 0.0000)
Bi (0.9219, 0.8245, 0.0000)
Cl (0.1097, 0.7173, 0.0000)
Cl (0.2173, 0.3903, 0.5000)
Cl (0.2827, 0.1097, 0.0000)
Cl (0.3903, 0.7827, 0.5000)
Cl (0.6097, 0.2173, 0.5000)
Cl (0.7173, 0.8903, 0.0000)
Cl (0.7827, 0.6097, 0.5000)
Cl (0.8903, 0.2827, 0.0000)

Values from the calculation:
- V (Å³/cell) = 550.1
- formation energy (no corrections) (eV per atom) = -0.4044
- total DFT energy (no corrections) (eV/atom) = -3.268


Record 14
## BiCl3 (GGA-PBE)

Data for a relaxed structure of BiCl3.

Unit cell a=7.0438 b=7.0438 c=7.0438 alpha=90.00 beta=90.00 gamma=90.00
Atoms (fractional coordinates):
Bi (0.0000, 0.0000, 0.0000)
Bi (0.0000, 0.5000, 0.5000)
Bi (0.5000, 0.0000, 0.5000)
Bi (0.5000, 0.5000, 0.0000)
Cl (0.0000, 0.0000, 0.5000)
Cl (0.0000, 0.5000, 0.0000)
Cl (0.2500, 0.2500, 0.2500)
Cl (0.2500, 0.2500, 0.7500)
Cl (0.2500, 0.7500, 0.2500)
Cl (0.2500, 0.7500, 0.7500)
Cl (0.5000, 0.0000, 0.0000)
Cl (0.5000, 0.5000, 0.5000)
Cl (0.7500, 0.2500, 0.2500)
Cl (0.7500, 0.2500, 0.7500)
Cl (0.7500, 0.7500, 0.2500)
Cl (0.7500, 0.7500, 0.7500)

Values from the calculation:
- V (Å³/cell) = 349.5
- formation energy (no corrections) (eV per atom) = -0.4537
- total DFT energy (no corrections) (eV/atom) = -2.809


Record 15
## BiCl (GGA-PBE)

Data for a relaxed structure of BiCl.

Unit cell a=3.5304 b=12.0000 c=8.7148 alpha=90.00 beta=90.00 gamma=90.00
Atoms (fractional coordinates):
Bi (0.2500, 0.0736, 0.1597)
Bi (0.2500, 0.4264, 0.1597)
Bi (0.2500, 0.7500, 0.6097)
Bi (0.7500, 0.2500, 0.3903)
Bi (0.7500, 0.5736, 0.8403)
Bi (0.7500, 0.9264, 0.8403)
Cl (0.2500, 0.2500, 0.9563)
Cl (0.2500, 0.5927, 0.3601)
Cl (0.2500, 0.9073, 0.3601)
Cl (0.7500, 0.0927, 0.6399)
Cl (0.7500, 0.4073, 0.6399)
Cl (0.7500, 0.7500, 0.0437)

Values from the calculation:
- V (Å³/cell) = 369.2
- formation energy (no corrections) (eV per atom) = -0.4658
- total DFT energy (no corrections) (eV/atom) = -3.330


Record 16
## BiCl (GGA-PBE)

Data for a relaxed structure of BiCl.

Unit cell a=11.0757 b=7.0253 c=6.3060 alpha=90.00 beta=90.00 gamma=90.00
Atoms (fractional coordinates):
Bi (0.0000, 0.2338, 0.0000)
Bi (0.2268, 0.4908, 0.0401)
Bi (0.2732, 0.5092, 0.5401)
Bi (0.5000, 0.7662, 0.5000)
Bi (0.7268, 0.5092, 0.5401)
Bi (0.7732, 0.4908, 0.0401)
Cl (0.0000, 0.2611, 0.5929)
Cl (0.1705, 0.7985, 0.7773)
Cl (0.3295, 0.2015, 0.2773)
Cl (0.5000, 0.7389, 0.0929)
Cl (0.6705, 0.2015, 0.2773)
Cl (0.8295, 0.7985, 0.7773)

Values from the calculation:
- V (Å³/cell) = 490.7
- formation energy (no corrections) (eV per atom) = -0.4891
- total DFT energy (no corrections) (eV/atom) = -3.353


Record 17
## Bi6Cl (GGA-PBE)

Data for a relaxed structure of Bi6Cl.

Unit cell a=8.7581 b=8.7581 c=8.7581 alpha=90.00 beta=90.00 gamma=90.00
Atoms (fractional coordinates):
Bi (0.0000, 0.2500, 0.5000)
Bi (0.0000, 0.5000, 0.2500)
Bi (0.0000, 0.5000, 0.7500)
Bi (0.0000, 0.7500, 0.5000)
Bi (0.2500, 0.0000, 0.5000)
Bi (0.2500, 0.5000, 0.0000)
Bi (0.5000, 0.0000, 0.2500)
Bi (0.5000, 0.0000, 0.7500)
Bi (0.5000, 0.2500, 0.0000)
Bi (0.5000, 0.7500, 0.0000)
Bi (0.7500, 0.0000, 0.5000)
Bi (0.7500, 0.5000, 0.0000)
Cl (0.0000, 0.0000, 0.0000)
Cl (0.5000, 0.5000, 0.5000)

Values from the calculation:
- V (Å³/cell) = 671.8
- formation energy (no corrections) (eV per atom) = 0.1396
- total DFT energy (no corrections) (eV/atom) = -3.451


Record 18
## BiCl (GGA-PBE)

Data for a relaxed structure of BiCl.

Unit cell a=11.5459 b=11.5459 c=4.9031 alpha=90.00 beta=90.00 gamma=90.00
Atoms (fractional coordinates):
Bi (0.0802, 0.8338, 0.0000)
Bi (0.1662, 0.0802, 0.0000)
Bi (0.2124, 0.7123, 0.5000)
Bi (0.2877, 0.2124, 0.5000)
Bi (0.7123, 0.7876, 0.5000)
Bi (0.7876, 0.2877, 0.5000)
Bi (0.8338, 0.9198, 0.0000)
Bi (0.9198, 0.1662, 0.0000)
Cl (0.1223, 0.3556, 0.5000)
Cl (0.2896, 0.6142, 0.0000)
Cl (0.3556, 0.8777, 0.5000)
Cl (0.3858, 0.2896, 0.0000)
Cl (0.6142, 0.7104, 0.0000)
Cl (0.6444, 0.1223, 0.5000)
Cl (0.7104, 0.3858, 0.0000)
Cl (0.8777, 0.6444, 0.5000)

Values from the calculation:
- V (Å³/cell) = 653.6
- formation energy (no corrections) (eV per atom) = -0.4736
- total DFT energy (no corrections) (eV/atom) = -3.337


Record 19
## BiCl3 (GGA-PBE)

Data for a relaxed structure of BiCl3.

Unit cell a=4.3805 b=4.3805 c=27.1127 alpha=90.00 beta=90.00 gamma=120.00
Atoms (fractional coordinates):
Bi (0.0000, 0.0000, 0.0000)
Bi (0.3333, 0.6667, 0.6667)
Bi (0.6667, 0.3333, 0.3333)
Cl (0.0000, 0.0000, 0.3816)
Cl (0.0000, 0.0000, 0.5000)
Cl (0.0000, 0.0000, 0.6184)
Cl (0.3333, 0.6667, 0.0482)
Cl (0.3333, 0.6667, 0.1667)
Cl (0.3333, 0.6667, 0.2851)
Cl (0.6667, 0.3333, 0.7149)
Cl (0.6667, 0.3333, 0.8333)
Cl (0.6667, 0.3333, 0.9518)

Values from the calculation:
- V (Å³/cell) = 450.6
- formation energy (no corrections) (eV per atom) = -0.2541
- total DFT energy (no corrections) (eV/atom) = -2.609


Record 20
## BiCl3 (GGA-PBE)

Data for a relaxed structure of BiCl3.

Unit cell a=4.8567 b=4.8567 c=18.5811 alpha=90.00 beta=90.00 gamma=90.00
Atoms (fractional coordinates):
Bi (0.0000, 0.0000, 0.0000)
Bi (0.0000, 0.5000, 0.2500)
Bi (0.5000, 0.0000, 0.7500)
Bi (0.5000, 0.5000, 0.5000)
Cl (0.0000, 0.0000, 0.5000)
Cl (0.0000, 0.5000, 0.7500)
Cl (0.1959, 0.2500, 0.1250)
Cl (0.2500, 0.6959, 0.3750)
Cl (0.2500, 0.8041, 0.8750)
Cl (0.3041, 0.2500, 0.6250)
Cl (0.5000, 0.0000, 0.2500)
Cl (0.5000, 0.5000, 0.0000)
Cl (0.6959, 0.7500, 0.6250)
Cl (0.7500, 0.1959, 0.8750)
Cl (0.7500, 0.3041, 0.3750)
Cl (0.8041, 0.7500, 0.1250)

Values from the calculation:
- V (Å³/cell) = 438.3
- formation energy (no corrections) (eV per atom) = -0.3614
- total DFT energy (no corrections) (eV/atom) = -2.717


Record 21
## BiCl (GGA-PBE)

Data for a relaxed structure of BiCl.

Unit cell a=4.0216 b=3.7716 c=8.8850 alpha=90.00 beta=97.44 gamma=90.00
Atoms (fractional coordinates):
Bi (0.1487, 0.2500, 0.3793)
Bi (0.8513, 0.7500, 0.6207)
Cl (0.2390, 0.2500, 0.8074)
Cl (0.7610, 0.7500, 0.1926)

Values from the calculation:
- V (Å³/cell) = 133.6
- formation energy (no corrections) (eV per atom) = -0.3759
- total DFT energy (no corrections) (eV/atom) = -3.240


Record 22
## CoBi2Cl (GGA-PBE)

Data for a relaxed structure of CoBi2Cl.

Unit cell a=7.0850 b=7.0850 c=7.0850 alpha=90.00 beta=90.00 gamma=90.00
Atoms (fractional coordinates):
Co (0.0000, 0.0000, 0.0000)
Co (0.0000, 0.5000, 0.5000)
Co (0.5000, 0.0000, 0.5000)
Co (0.5000, 0.5000, 0.0000)
Bi (0.2500, 0.2500, 0.2500)
Bi (0.2500, 0.2500, 0.7500)
Bi (0.2500, 0.7500, 0.2500)
Bi (0.2500, 0.7500, 0.7500)
Bi (0.7500, 0.2500, 0.2500)
Bi (0.7500, 0.2500, 0.7500)
Bi (0.7500, 0.7500, 0.2500)
Bi (0.7500, 0.7500, 0.7500)
Cl (0.0000, 0.0000, 0.5000)
Cl (0.0000, 0.5000, 0.0000)
Cl (0.5000, 0.0000, 0.0000)
Cl (0.5000, 0.5000, 0.5000)

Values from the calculation:
- V (Å³/cell) = 355.6
- formation energy (no corrections) (eV per atom) = 0.3754
- total DFT energy (no corrections) (eV/atom) = -3.803